## Ho3Er2TmSb6 (PBE)

Data for Ho3Er2TmSb6 after structural relaxation.

E_form (uncorrected), eV/atom: -1.100

a = 9.7391 Å, b = 9.7391 Å, c = 8.7126 Å
α = 102.86°, β = 102.86°, γ = 25.84°
Closest atoms and distances in Å follow each position.
Sites, in units of the cell vectors:
Ho: 0.0000 0.0000 0.0000  6 Sb 3.09
Ho: 0.3332 0.3332 0.6669  6 Sb 3.08-3.09
Ho: 0.6668 0.6668 0.3331  6 Sb 3.08-3.09
Er: 0.3334 0.3334 0.1671  6 Sb 3.08
Er: 0.6666 0.6666 0.8329  6 Sb 3.08
Tm: 0.0000 0.0000 0.5000  6 Sb 3.07
Sb: 0.1661 0.1661 0.5834  1 Tm 3.07, 2 Er 3.08, 3 Ho 3.08-3.09
Sb: 0.1669 0.1669 0.0824  3 Er 3.08, 3 Ho 3.08-3.09
Sb: 0.4999 0.4999 0.2515  2 Tm 3.07, 1 Er 3.08, 3 Ho 3.09
Sb: 0.5001 0.5001 0.7485  2 Tm 3.07, 1 Er 3.08, 3 Ho 3.09
Sb: 0.8331 0.8331 0.9176  3 Er 3.08, 3 Ho 3.08-3.09
Sb: 0.8339 0.8339 0.4166  1 Tm 3.07, 2 Er 3.08, 3 Ho 3.08-3.09